Record 1
Os2RuW: relaxed, PBE.

Cell lengths 2.749, 2.749, 7.783 Å; angles 90.00, 90.00, 90.00 degrees
Sites, in units of the cell vectors:
1 Os 0.000 0.000 0.000
2 Os 0.500 0.500 0.240
3 Ru 0.000 0.000 0.486
4 W 0.500 0.500 0.738

Values from the calculation:
D(E_F)   2.84 states/eV/cell
VASP energy   -44.3 eV per cell
ΔE_f   0.099 eV/atom

***

Record 2
RuPb2Br: relaxed, PBE.

Cell lengths 7.929, 7.818, 3.276 Å; angles 90.00, 105.85, 90.00 degrees
Sites, in units of the cell vectors:
1 Ru 0.000 0.000 0.000
2 Ru 0.500 0.500 0.000
3 Pb 0.250 0.250 0.500
4 Pb 0.250 0.750 0.500
5 Pb 0.750 0.250 0.500
6 Pb 0.750 0.750 0.500
7 Br 0.000 0.500 0.000
8 Br 0.500 0.000 0.000

Values from the calculation:
D(E_F)   5.67 states/eV/cell
VASP energy   -33.9 eV per cell
Formation energy (no corrections)   0.3486 eV per atom

***

Record 3
SmMgAlPt3: relaxed, PBE.

Cell lengths 6.973, 6.973, 5.712 Å; angles 90.00, 90.00, 119.81 degrees
Sites, in units of the cell vectors:
1 Sm 0.193 0.807 0.750
2 Sm 0.807 0.193 0.250
3 Mg 0.450 0.550 0.750
4 Mg 0.550 0.450 0.250
5 Al 0.125 0.875 0.250
6 Al 0.875 0.125 0.750
7 Pt 0.204 0.204 0.000
8 Pt 0.204 0.204 0.500
9 Pt 0.324 0.676 0.250
10 Pt 0.676 0.324 0.750
11 Pt 0.796 0.796 0.000
12 Pt 0.796 0.796 0.500

Values from the calculation:
D(E_F)   6.40 states/eV/cell
VASP energy   -65.0 eV per cell
ΔE_f   -0.716 eV/atom

***

Record 4
Cs6H3Au2Cl: relaxed, PBE.

Cell lengths 10.906, 10.906, 9.794 Å; angles 104.03, 104.03, 25.45 degrees
Sites, in units of the cell vectors:
1 Cs 0.005 0.005 0.242
2 Cs 0.329 0.329 0.434
3 Cs 0.343 0.343 0.892
4 Cs 0.657 0.657 0.108
5 Cs 0.671 0.671 0.566
6 Cs 0.995 0.995 0.758
7 H 0.164 0.164 0.339
8 H 0.500 0.500 0.000
9 H 0.836 0.836 0.661
10 Au 0.170 0.170 0.840
11 Au 0.830 0.830 0.160
12 Cl 0.500 0.500 0.500

Values from the calculation:
D(E_F)   0.00 states/eV/cell
VASP energy   -29.6 eV per cell

***

Record 5
Tb2Nd4Sb3N2: relaxed, PBE.

Cell lengths 13.299, 13.299, 13.299 Å; angles 159.22, 159.22, 29.55 degrees
Sites, in units of the cell vectors:
1 Tb 0.193 0.193 0.000
2 Tb 0.807 0.807 0.000
3 Nd 0.084 0.584 0.500
4 Nd 0.416 0.916 0.500
5 Nd 0.584 0.084 0.500
6 Nd 0.916 0.416 0.500
7 Sb 0.319 0.319 0.000
8 Sb 0.500 0.500 0.000
9 Sb 0.681 0.681 0.000
10 N 0.108 0.108 0.000
11 N 0.892 0.892 0.000

Values from the calculation:
D(E_F)   3.84 states/eV/cell
VASP energy   -69.7 eV per cell
Formation energy (no corrections)   -1.1259 eV per atom

***

Record 6
CsK5Rb2Hg: relaxed, PBE.

Cell lengths 12.558, 12.558, 12.558 Å; angles 148.74, 134.42, 56.31 degrees
Sites, in units of the cell vectors:
1 Cs 0.000 0.000 0.000
2 K 0.137 0.388 0.750
3 K 0.362 0.612 0.750
4 K 0.500 0.000 0.500
5 K 0.638 0.388 0.250
6 K 0.863 0.612 0.250
7 Rb 0.288 0.788 0.500
8 Rb 0.712 0.212 0.500
9 Hg 0.500 0.500 0.000

Values from the calculation:
D(E_F)   6.81 states/eV/cell
VASP energy   -8.6 eV per cell
ΔE_f   0.001 eV/atom

***

Record 7
InCu2Te: relaxed, PBE.

Cell lengths 6.828, 6.828, 6.828 Å; angles 90.00, 90.00, 90.00 degrees
Sites, in units of the cell vectors:
1 In 0.000 0.000 0.000
2 In 0.000 0.500 0.500
3 In 0.500 0.000 0.500
4 In 0.500 0.500 0.000
5 Cu 0.250 0.250 0.250
6 Cu 0.250 0.250 0.750
7 Cu 0.250 0.750 0.250
8 Cu 0.250 0.750 0.750
9 Cu 0.750 0.250 0.250
10 Cu 0.750 0.250 0.750
11 Cu 0.750 0.750 0.250
12 Cu 0.750 0.750 0.750
13 Te 0.000 0.000 0.500
14 Te 0.000 0.500 0.000
15 Te 0.500 0.000 0.000
16 Te 0.500 0.500 0.500

Values from the calculation:
D(E_F)   9.47 states/eV/cell
VASP energy   -52.1 eV per cell
Formation energy (no corrections)   0.2649 eV per atom

***

Record 8
Sr2HfBiC: relaxed, PBE.

Cell lengths 5.258, 5.258, 5.125 Å; angles 90.00, 90.00, 90.00 degrees
Sites, in units of the cell vectors:
1 Sr 0.000 0.500 0.000
2 Sr 0.500 0.000 0.000
3 Hf 0.000 0.000 0.500
4 Bi 0.500 0.500 0.500
5 C 0.500 0.500 0.000

Values from the calculation:
D(E_F)   6.17 states/eV/cell
VASP energy   -22.3 eV per cell
ΔE_f   0.815 eV/atom

***

Record 9
Mo2OsI: relaxed, PBE.

Cell lengths 6.464, 6.464, 6.464 Å; angles 90.00, 90.00, 90.00 degrees
Sites, in units of the cell vectors:
1 Mo 0.250 0.250 0.250
2 Mo 0.250 0.250 0.750
3 Mo 0.250 0.750 0.250
4 Mo 0.250 0.750 0.750
5 Mo 0.750 0.250 0.250
6 Mo 0.750 0.250 0.750
7 Mo 0.750 0.750 0.250
8 Mo 0.750 0.750 0.750
9 Os 0.000 0.000 0.000
10 Os 0.000 0.500 0.500
11 Os 0.500 0.000 0.500
12 Os 0.500 0.500 0.000
13 I 0.000 0.000 0.500
14 I 0.000 0.500 0.000
15 I 0.500 0.000 0.000
16 I 0.500 0.500 0.500

Values from the calculation:
D(E_F)   11.39 states/eV/cell
VASP energy   -122.6 eV per cell
Formation energy (no corrections)   0.9492 eV per atom

***

Record 10
Y3CdPd4: relaxed, PBE.

Cell lengths 9.805, 6.878, 4.902 Å; angles 90.00, 90.00, 90.00 degrees
Sites, in units of the cell vectors:
1 Y 0.000 0.000 0.000
2 Y 0.250 0.000 0.499
3 Y 0.250 0.500 0.498
4 Y 0.500 0.000 0.000
5 Y 0.750 0.000 0.501
6 Y 0.750 0.500 0.502
7 Cd 0.000 0.500 0.000
8 Cd 0.500 0.500 0.000
9 Pd 0.000 0.249 0.500
10 Pd 0.000 0.751 0.500
11 Pd 0.250 0.249 0.998
12 Pd 0.250 0.751 0.998
13 Pd 0.500 0.249 0.500
14 Pd 0.500 0.751 0.500
15 Pd 0.750 0.249 0.002
16 Pd 0.750 0.751 0.002

Values from the calculation:
D(E_F)   6.44 states/eV/cell
VASP energy   -94.8 eV per cell
ΔE_f   -0.791 eV/atom

***

Record 11
Ga6Rh: relaxed, PBE.

Cell lengths 5.212, 5.212, 9.122 Å; angles 97.77, 97.77, 76.33 degrees
Sites, in units of the cell vectors:
1 Ga 0.044 0.603 0.288
2 Ga 0.044 0.843 0.603
3 Ga 0.157 0.956 0.897
4 Ga 0.267 0.423 0.995
5 Ga 0.397 0.956 0.212
6 Ga 0.423 0.267 0.495
7 Ga 0.577 0.733 0.505
8 Ga 0.603 0.044 0.788
9 Ga 0.733 0.577 0.005
10 Ga 0.843 0.044 0.103
11 Ga 0.956 0.157 0.397
12 Ga 0.956 0.397 0.712
13 Rh 0.439 0.561 0.750
14 Rh 0.561 0.439 0.250

Values from the calculation:
D(E_F)   5.39 states/eV/cell
VASP energy   -54.3 eV per cell
ΔE_f   -0.231 eV/atom

***

Record 12
Ac2Ge4Ir: relaxed, PBE.

Cell lengths 6.034, 6.034, 4.935 Å; angles 90.00, 90.00, 90.00 degrees
Sites, in units of the cell vectors:
1 Ac 0.000 0.500 0.000
2 Ac 0.500 0.000 0.000
3 Ge 0.211 0.211 0.500
4 Ge 0.211 0.789 0.500
5 Ge 0.789 0.211 0.500
6 Ge 0.789 0.789 0.500
7 Ir 0.500 0.500 0.500

Values from the calculation:
D(E_F)   3.64 states/eV/cell
VASP energy   -38.9 eV per cell
ΔE_f   -0.483 eV/atom

***

Record 13
NaIn2Au: relaxed, PBE.

Cell lengths 4.495, 4.495, 4.511 Å; angles 90.00, 90.00, 90.00 degrees
Sites, in units of the cell vectors:
1 Na 0.000 0.000 0.000
2 In 0.000 0.500 0.500
3 In 0.500 0.000 0.500
4 Au 0.500 0.500 0.000

Values from the calculation:
D(E_F)   1.75 states/eV/cell
VASP energy   -10.7 eV per cell
ΔE_f   -0.161 eV/atom

***

Record 14
CaLa2Sm: relaxed, PBE.

Cell lengths 8.428, 8.428, 8.428 Å; angles 90.00, 90.00, 90.00 degrees
Sites, in units of the cell vectors:
1 Ca 0.000 0.000 0.000
2 Ca 0.000 0.500 0.500
3 Ca 0.500 0.000 0.500
4 Ca 0.500 0.500 0.000
5 La 0.250 0.250 0.250
6 La 0.250 0.250 0.750
7 La 0.250 0.750 0.250
8 La 0.250 0.750 0.750
9 La 0.750 0.250 0.250
10 La 0.750 0.250 0.750
11 La 0.750 0.750 0.250
12 La 0.750 0.750 0.750
13 Sm 0.000 0.000 0.500
14 Sm 0.000 0.500 0.000
15 Sm 0.500 0.000 0.000
16 Sm 0.500 0.500 0.500

Values from the calculation:
D(E_F)   25.74 states/eV/cell
VASP energy   -64.6 eV per cell
ΔE_f   0.106 eV/atom

***

Record 15
Mg3TcO: relaxed, PBE.

Cell lengths 4.211, 4.211, 4.211 Å; angles 90.00, 90.00, 90.00 degrees
Sites, in units of the cell vectors:
1 Mg 0.000 0.000 0.500
2 Mg 0.000 0.500 0.000
3 Mg 0.500 0.000 0.000
4 Tc 0.500 0.500 0.500
5 O 0.000 0.000 0.000

Values from the calculation:
D(E_F)   5.93 states/eV/cell
VASP energy   -22.7 eV per cell
Formation energy (no corrections)   -0.5265 eV per atom

***

Record 16
NbCoBr6: relaxed, PBE.

Cell lengths 7.299, 12.396, 7.304 Å; angles 90.00, 119.44, 90.00 degrees
Sites, in units of the cell vectors:
1 Nb 0.000 0.000 0.000
2 Nb 0.500 0.500 0.000
3 Co 0.000 0.500 0.500
4 Co 0.500 0.000 0.500
5 Br 0.198 0.000 0.802
6 Br 0.237 0.356 0.737
7 Br 0.237 0.644 0.737
8 Br 0.263 0.144 0.263
9 Br 0.263 0.856 0.263
10 Br 0.302 0.500 0.198
11 Br 0.698 0.500 0.802
12 Br 0.737 0.144 0.737
13 Br 0.737 0.856 0.737
14 Br 0.763 0.356 0.263
15 Br 0.763 0.644 0.263
16 Br 0.802 0.000 0.198

Values from the calculation:
D(E_F)   9.75 states/eV/cell
VASP energy   -63.3 eV per cell
Formation energy (no corrections)   -0.5576 eV per atom

***

Record 17
Th2UAl: relaxed, PBE.

Cell lengths 3.907, 3.907, 6.861 Å; angles 90.00, 90.00, 90.00 degrees
Sites, in units of the cell vectors:
1 Th 0.000 0.000 0.246
2 Th 0.000 0.000 0.754
3 U 0.500 0.500 0.500
4 Al 0.500 0.500 0.000

Values from the calculation:
D(E_F)   8.94 states/eV/cell
VASP energy   -29.2 eV per cell
ΔE_f   0.161 eV/atom

***

Record 18
ZnFeAu3: relaxed, PBE.

Cell lengths 4.770, 4.770, 4.770 Å; angles 90.00, 90.00, 90.00 degrees
Sites, in units of the cell vectors:
1 Zn 0.000 0.000 0.000
2 Fe 0.500 0.500 0.500
3 Au 0.000 0.000 0.500
4 Au 0.000 0.500 0.000
5 Au 0.500 0.000 0.000

Values from the calculation:
D(E_F)   6.83 states/eV/cell
VASP energy   -15.5 eV per cell
ΔE_f   0.807 eV/atom

***

Record 19
Co2AsW: relaxed, PBE.

Cell lengths 2.792, 3.274, 5.699 Å; angles 90.00, 90.00, 90.00 degrees
Sites, in units of the cell vectors:
1 Co 0.000 0.000 0.000
2 Co 0.500 0.500 0.246
3 As 0.500 0.500 0.805
4 W 0.000 0.000 0.479

Values from the calculation:
D(E_F)   4.36 states/eV/cell
VASP energy   -31.1 eV per cell
ΔE_f   0.186 eV/atom

***

Record 20
ZrCrSi2: relaxed, PBE.

Cell lengths 6.177, 6.177, 6.177 Å; angles 90.00, 90.00, 90.00 degrees
Sites, in units of the cell vectors:
1 Zr 0.000 0.000 0.000
2 Zr 0.000 0.500 0.500
3 Zr 0.500 0.000 0.500
4 Zr 0.500 0.500 0.000
5 Cr 0.250 0.250 0.750
6 Cr 0.250 0.750 0.250
7 Cr 0.750 0.250 0.250
8 Cr 0.750 0.750 0.750
9 Si 0.000 0.000 0.500
10 Si 0.000 0.500 0.000
11 Si 0.250 0.250 0.250
12 Si 0.250 0.750 0.750
13 Si 0.500 0.000 0.000
14 Si 0.500 0.500 0.500
15 Si 0.750 0.250 0.750
16 Si 0.750 0.750 0.250

Values from the calculation:
D(E_F)   14.76 states/eV/cell
VASP energy   -114.5 eV per cell
Formation energy (no corrections)   0.0977 eV per atom